Record 1
LiFe2Ni after structural relaxation, computed with GGA-PBE. Values from VASP.

Geometry as Quantum ESPRESSO input:
```
&SYSTEM
  ibrav = 0, nat = 4, ntyp = 3
/
ATOMIC_SPECIES
Ni 58.69 Ni.upf
Fe 55.84 Fe.upf
Li 6.94 Li.upf
CELL_PARAMETERS angstrom
-4.4382 -0.2734 0.6106
2.0131 -4.0112 0.0572
0.3237 0.1972 2.4408
ATOMIC_POSITIONS crystal
Ni 0.0000 0.5000 0.5000
Fe 0.5000 0.5000 0.0000
Li 0.5000 0.0000 0.5000
Fe 0.0000 0.0000 0.0000
```

- E_form: 0.5 eV per formula unit
- Space-group type: Cmmm, No. 65

Record 2
LiFeNi3 after structural relaxation, computed with GGA-PBE. Values from VASP.

Geometry as Quantum ESPRESSO input:
```
&SYSTEM
  ibrav = 0, nat = 10, ntyp = 3
/
ATOMIC_SPECIES
Li 6.94 Li.upf
Ni 58.69 Ni.upf
Fe 55.84 Fe.upf
CELL_PARAMETERS angstrom
-2.0003 -1.3347 3.5166
-3.5890 0.0982 -3.4473
1.2676 -5.5709 0.4566
ATOMIC_POSITIONS crystal
Li 0.5526 0.5506 0.0000
Ni 0.9398 0.4538 0.2051
Ni 0.7470 0.2530 0.5976
Fe 0.7532 0.7561 0.5928
Li 0.1523 0.1516 0.8080
Ni 0.9609 0.9537 0.2036
Fe 0.3328 0.3395 0.3980
Ni 0.5561 0.0427 0.0011
Ni 0.3542 0.8459 0.3968
Ni 0.1511 0.6531 0.7971
```

- E_form: 0.0 eV per formula unit
- Space-group type: P1, No. 1
- ΔE to the lowest computed polymorph: 0 meV per atom

Record 3
LiFe2Ni after structural relaxation, computed with GGA-PBE. Values from VASP.

Geometry as Quantum ESPRESSO input:
```
&SYSTEM
  ibrav = 0, nat = 4, ntyp = 3
/
ATOMIC_SPECIES
Ni 58.69 Ni.upf
Fe 55.84 Fe.upf
Li 6.94 Li.upf
CELL_PARAMETERS angstrom
4.8758 -0.0372 -0.0135
2.3531 4.2706 0.0135
-3.0573 -3.0681 2.2394
ATOMIC_POSITIONS crystal
Ni 0.2442 0.7442 0.5000
Fe 0.7592 0.2592 0.5000
Fe 0.0031 0.0031 0.0000
Li 0.4935 0.4935 0.0000
```

- E_form: 0.6 eV per formula unit
- Space-group type: Imm2, No. 44